# 1
! PBE Nd3P2IrRh9, relaxed; values from VASP
! ΔH_f (0 K) = -0.480 eV/atom
! total energy = -7.1569 eV/atom
&SYSTEM
  ibrav = 0, nat = 15, ntyp = 4
/
ATOMIC_SPECIES
Rh 102.91 Rh.upf
Nd 144.24 Nd.upf
P 30.97 P.upf
Ir 192.22 Ir.upf
CELL_PARAMETERS angstrom
-2.508 -5.288 1.053
5.452 0.289 -2.357
3.702 -0.053 8.555
ATOMIC_POSITIONS angstrom
Rh 2.728 -1.601 6.112
Rh 2.316 -0.731 1.848
Rh 2.726 0.145 -1.179
Rh -1.254 -2.644 0.526
Rh 4.330 -4.322 5.402
Rh 1.363 -4.479 6.685
Rh 1.472 -2.500 -0.652
Rh 3.918 -3.451 1.138
Rh 5.283 -0.573 0.565
Nd 5.075 -1.603 4.039
Nd 0.000 0.000 0.000
Nd 1.572 -3.450 3.212
P 3.260 -3.474 7.114
P 3.386 -1.579 0.137
Ir 1.851 -0.026 4.278


# 2
! PBE Nd2P4Ir3Rh, relaxed; values from VASP
! ΔH_f (0 K) = -1.035 eV/atom
! total energy = -7.5464 eV/atom
&SYSTEM
  ibrav = 0, nat = 10, ntyp = 4
/
ATOMIC_SPECIES
Ir 192.22 Ir.upf
Nd 144.24 Nd.upf
P 30.97 P.upf
Rh 102.91 Rh.upf
CELL_PARAMETERS angstrom
4.197 0.000 0.000
0.000 4.197 0.000
0.000 0.000 9.569
ATOMIC_POSITIONS angstrom
Ir 2.098 0.000 8.495
Ir 0.000 0.000 4.784
Ir 0.000 2.098 1.074
Nd 2.098 0.000 2.314
Nd 0.000 2.098 7.255
P 0.000 0.000 0.000
P 2.098 0.000 6.111
P 0.000 2.098 3.457
P 2.098 2.098 0.000
Rh 2.098 2.098 4.784


# 3
! PBE Nd8P3IrSe4, relaxed; values from VASP
! total energy = -6.4327 eV/atom
! energy relative to the elements, uncorrected = -25.8 eV per formula unit
&SYSTEM
  ibrav = 0, nat = 16, ntyp = 4
/
ATOMIC_SPECIES
Nd 144.24 Nd.upf
Se 78.96 Se.upf
P 30.97 P.upf
Ir 192.22 Ir.upf
CELL_PARAMETERS angstrom
8.389 0.000 0.000
0.000 8.478 0.056
-4.195 -4.190 5.936
ATOMIC_POSITIONS angstrom
Nd 4.195 4.160 2.936
Nd 4.195 0.124 3.076
Nd 6.310 2.237 0.084
Nd -2.116 2.051 5.908
Nd 2.116 2.051 5.908
Nd 0.000 4.164 2.916
Nd 0.000 0.128 3.055
Nd 2.079 2.237 0.084
Se -2.097 -2.095 2.968
Se 4.195 0.000 0.000
Se 2.097 -2.095 2.968
Se 0.000 0.000 0.000
P 4.195 4.239 0.028
P 2.097 2.144 2.996
P -2.097 2.144 2.996
Ir 0.000 4.239 0.028


# 4
! PBE Nd2SiPIr6, relaxed; values from VASP
! total energy = -7.9040 eV/atom
! energy relative to the elements, uncorrected = -5.5 eV per formula unit
&SYSTEM
  ibrav = 0, nat = 20, ntyp = 4
/
ATOMIC_SPECIES
Ir 192.22 Ir.upf
Si 28.09 Si.upf
Nd 144.24 Nd.upf
P 30.97 P.upf
CELL_PARAMETERS angstrom
5.463 0.000 0.000
0.000 7.918 0.000
0.000 0.000 8.665
ATOMIC_POSITIONS angstrom
Ir 1.417 4.111 0.000
Ir 0.000 7.109 6.485
Ir 1.314 3.807 4.333
Ir 1.337 0.050 4.333
Ir 4.126 0.050 4.333
Ir 1.395 7.869 0.000
Ir 4.149 3.807 4.333
Ir 4.069 7.869 0.000
Ir 2.732 0.809 2.153
Ir 2.732 0.809 6.512
Ir 4.046 4.111 0.000
Ir 0.000 7.109 2.180
Si 2.732 2.070 0.000
Si 0.000 5.849 4.333
Nd 0.000 2.260 6.649
Nd 2.732 5.659 2.316
Nd 2.732 5.659 6.349
Nd 0.000 2.260 2.016
P 0.000 5.956 0.000
P 2.732 1.963 4.333